[1]
VASP calculation (PBE) on a geometry-optimized PrNdDyZr structure.

Output
DFT formation energy: 0.256 eV per atom
ρ: 7.2 Mg/m³

Unit cell a=5.593 b=5.593 c=5.593 alpha=60.00 beta=60.00 gamma=60.00
Each line ends with the local moment (μB).
Positions (direct):
1 Pr 0.750 0.750 0.750  -0.01
2 Nd 0.500 0.500 0.500  0.13
3 Zr 0.250 0.250 0.250  0.66
4 Dy 0.000 0.000 0.000  0.18



[2]
VASP calculation (PBE) on a geometry-optimized Pu2Th structure.

Output
Offset from the most stable computed form: 0.00 eV per formula unit
DFT formation energy: 0.180 eV per atom
ρ: 14.7 Mg/m³

Unit cell a=6.131 b=6.131 c=6.131 alpha=60.00 beta=60.00 gamma=60.00
Each line ends with the local moment (μB).
Positions (direct):
1 Th 0.000 0.000 0.000  0.00
2 Th 0.250 0.250 0.250  0.00
3 Pu 0.125 0.625 0.625  5.23
4 Pu 0.625 0.125 0.625  5.23
5 Pu 0.625 0.625 0.625  5.23
6 Pu 0.625 0.625 0.125  5.23



[3]
VASP calculation (PBE) on a geometry-optimized TlPd2Pt structure.

Output
Offset from the most stable computed form: 0.09 eV per formula unit
DFT formation energy: -0.112 eV per atom
ρ: 14.8 Mg/m³

Unit cell a=4.592 b=4.592 c=4.592 alpha=60.00 beta=60.00 gamma=60.00
Positions (direct):
1 Tl 0.500 0.500 0.500
2 Pd 0.250 0.250 0.250
3 Pd 0.750 0.750 0.750
4 Pt 0.000 0.000 0.000



[4]
VASP calculation (PBE) on a geometry-optimized KOs3Br structure.

Output
Offset from the most stable computed form: 8.23 eV per formula unit
ρ: 9.4 Mg/m³
Formation energy without anion corrections: 4.085 eV/atom

Unit cell a=4.964 b=4.964 c=4.964 alpha=90.00 beta=90.00 gamma=90.00
Each line ends with the local moment (μB).
Positions (direct):
1 K 0.000 0.000 0.000  0.04
2 Os 0.000 0.500 0.000  2.42
3 Os 0.000 0.000 0.500  2.04
4 Os 0.500 0.000 0.000  2.46
5 Br 0.500 0.500 0.500  0.33